! GGA-PBE LiPdRh2, optimized geometry; values from VASP
&SYSTEM
  ibrav = 0, nat = 4, ntyp = 3
/
ATOMIC_SPECIES
Li 6.94 Li.upf
Pd 106.42 Pd.upf
Rh 102.91 Rh.upf
ATOMIC_POSITIONS angstrom
Li 0.000 0.000 0.000
Pd 0.000 0.000 14.322
Rh 0.000 0.000 11.716
Rh 0.000 0.000 16.927
CELL_PARAMETERS angstrom
1.338 0.773 9.548
-1.338 0.773 9.548
0.000 -1.545 9.548
! - Space group: R-3m (166)
! - Electronic total energy: -0.3876 Ry/atom
! - Spin magnetization: 0.82 μB/cell

---

! GGA-PBE Li2Pd2Rh, optimized geometry; values from VASP
&SYSTEM
  ibrav = 0, nat = 10, ntyp = 3
/
ATOMIC_SPECIES
Li 6.94 Li.upf
Pd 106.42 Pd.upf
Rh 102.91 Rh.upf
ATOMIC_POSITIONS angstrom
Li 1.153 2.416 0.000
Li 2.416 5.985 0.000
Li 4.721 1.153 0.000
Li 5.985 4.721 0.000
Pd 0.990 4.558 1.375
Pd 2.579 0.990 1.375
Pd 4.558 6.148 1.375
Pd 6.148 2.579 1.375
Rh 0.000 0.000 1.375
Rh 3.569 3.569 1.375
CELL_PARAMETERS angstrom
7.137 0.000 0.000
0.000 7.137 0.000
0.000 0.000 2.749
! - Space group: P4/mbm (127)
! - Electronic total energy: -0.3234 Ry/atom
! - Spin magnetization: 1.81 μB/cell

---

! GGA-PBE Li5Pd4Rh, optimized geometry; values from VASP
&SYSTEM
  ibrav = 0, nat = 10, ntyp = 3
/
ATOMIC_SPECIES
Li 6.94 Li.upf
Pd 106.42 Pd.upf
Rh 102.91 Rh.upf
ATOMIC_POSITIONS angstrom
Li 0.000 0.000 0.000
Li 2.158 0.000 1.528
Li 4.872 0.000 0.566
Li 6.494 0.000 4.443
Li 9.209 0.000 3.481
Pd 1.653 0.000 4.028
Pd 4.331 0.000 3.006
Pd 7.036 0.000 2.003
Pd 9.714 0.000 0.981
Rh -0.560 0.000 2.505
CELL_PARAMETERS angstrom
6.243 -2.225 0.000
6.243 2.225 0.000
-1.119 0.000 5.009
! - Space group: C2/m (12)
! - Electronic total energy: -0.3000 Ry/atom
! - Spin magnetization: 0.00 μB/cell

---

! GGA-PBE Li3PdRh, optimized geometry; values from VASP
&SYSTEM
  ibrav = 0, nat = 5, ntyp = 3
/
ATOMIC_SPECIES
Li 6.94 Li.upf
Pd 106.42 Pd.upf
Rh 102.91 Rh.upf
ATOMIC_POSITIONS angstrom
Li 0.000 0.000 2.204
Li 0.000 2.204 0.000
Li 2.204 0.000 0.000
Pd 2.204 2.204 2.204
Rh 0.000 0.000 0.000
CELL_PARAMETERS angstrom
4.408 0.000 0.000
0.000 4.408 0.000
0.000 0.000 4.408
! - Space group: Pm-3m (221)
! - Electronic total energy: -0.2380 Ry/atom
! - Spin magnetization: 0.00 μB/cell

---

! GGA-PBE Li5PdRh, optimized geometry; values from VASP
&SYSTEM
  ibrav = 0, nat = 14, ntyp = 3
/
ATOMIC_SPECIES
Li 6.94 Li.upf
Pd 106.42 Pd.upf
Rh 102.91 Rh.upf
ATOMIC_POSITIONS angstrom
Li 0.889 0.212 6.391
Li 3.061 1.407 7.024
Li 1.767 -0.212 1.709
Li 1.373 0.117 9.045
Li 2.252 -0.117 4.362
Li 4.749 0.117 5.003
Li 5.627 -0.117 0.321
Li 5.234 0.212 7.656
Li 3.939 -1.407 2.341
Li 6.112 -0.212 2.974
Pd 3.939 1.097 2.341
Pd 3.061 -1.097 7.024
Rh 0.000 0.000 0.000
Rh -0.878 0.000 4.683
CELL_PARAMETERS angstrom
4.378 -2.500 0.000
4.378 2.500 0.000
-1.756 0.000 9.365
! - Space group: C2/c (15)
! - Electronic total energy: -0.2422 Ry/atom
! - Spin magnetization: 0.00 μB/cell

---

! GGA-PBE LiPd2Rh, optimized geometry; values from VASP
&SYSTEM
  ibrav = 0, nat = 4, ntyp = 3
/
ATOMIC_SPECIES
Li 6.94 Li.upf
Pd 106.42 Pd.upf
Rh 102.91 Rh.upf
ATOMIC_POSITIONS angstrom
Li 0.000 0.000 0.000
Pd 1.376 1.902 1.366
Pd 1.376 -1.902 1.366
Rh 2.751 0.000 0.000
CELL_PARAMETERS angstrom
2.751 -3.805 0.000
2.751 3.805 0.000
0.000 0.000 2.733
! - Space group: Cmmm (65)
! - Electronic total energy: -0.3773 Ry/atom
! - Spin magnetization: 0.00 μB/cell

---

! GGA-PBE Li6PdRh2, optimized geometry; values from VASP
&SYSTEM
  ibrav = 0, nat = 9, ntyp = 3
/
ATOMIC_SPECIES
Li 6.94 Li.upf
Pd 106.42 Pd.upf
Rh 102.91 Rh.upf
ATOMIC_POSITIONS angstrom
Li 4.272 1.243 2.559
Li 6.434 2.485 0.000
Li 4.272 -1.243 2.559
Li 8.586 1.243 0.007
Li 6.434 -2.485 0.000
Li 8.586 -1.243 0.007
Pd 6.429 0.000 1.283
Rh 2.140 0.000 1.283
Rh 10.717 0.000 1.283
CELL_PARAMETERS angstrom
6.434 -3.714 0.000
6.434 3.714 0.000
-0.010 0.000 2.566
! - Space group: C2/m (12)
! - Electronic total energy: -0.2725 Ry/atom
! - Spin magnetization: 0.00 μB/cell

---

! GGA-PBE LiPd2Rh, optimized geometry; values from VASP
&SYSTEM
  ibrav = 0, nat = 4, ntyp = 3
/
ATOMIC_SPECIES
Li 6.94 Li.upf
Pd 106.42 Pd.upf
Rh 102.91 Rh.upf
ATOMIC_POSITIONS angstrom
Li 0.000 0.000 0.000
Pd 0.000 0.000 10.933
Pd 0.000 0.000 15.471
Rh 0.000 0.000 4.392
CELL_PARAMETERS angstrom
1.378 0.796 8.806
-1.378 0.796 8.806
0.000 -1.592 8.806
! - Space group: R3m (160)
! - Electronic total energy: -0.3698 Ry/atom
! - Spin magnetization: 0.57 μB/cell

---

! GGA-PBE LiPd2Rh, optimized geometry; values from VASP
&SYSTEM
  ibrav = 0, nat = 4, ntyp = 3
/
ATOMIC_SPECIES
Li 6.94 Li.upf
Pd 106.42 Pd.upf
Rh 102.91 Rh.upf
ATOMIC_POSITIONS angstrom
Li 0.000 0.000 0.000
Pd 0.000 2.292 1.380
Pd 2.292 0.000 1.380
Rh 2.292 2.292 0.000
CELL_PARAMETERS angstrom
4.584 0.000 0.000
0.000 4.584 0.000
0.000 0.000 2.760
! - Space group: P4/mmm (123)
! - Electronic total energy: -0.3734 Ry/atom
! - Spin magnetization: 0.00 μB/cell

---

! GGA-PBE Li2Pd6Rh, optimized geometry; values from VASP
&SYSTEM
  ibrav = 0, nat = 9, ntyp = 3
/
ATOMIC_SPECIES
Li 6.94 Li.upf
Pd 106.42 Pd.upf
Rh 102.91 Rh.upf
ATOMIC_POSITIONS angstrom
Li 0.000 0.000 1.395
Li 0.000 0.000 6.727
Pd 2.268 1.381 -1.350
Pd 0.000 2.275 0.000
Pd 2.268 1.381 1.350
Pd 0.000 2.314 2.712
Pd 0.000 5.115 0.000
Pd 0.000 2.314 5.411
Rh 0.000 0.000 4.061
CELL_PARAMETERS angstrom
-2.268 3.695 4.061
2.268 -3.695 4.061
2.268 3.695 -4.061
! - Space group: Immm (71)
! - Electronic total energy: -0.3508 Ry/atom
! - Spin magnetization: 0.00 μB/cell

---

! GGA-PBE Li2PdRh2, optimized geometry; values from VASP
&SYSTEM
  ibrav = 0, nat = 10, ntyp = 3
/
ATOMIC_SPECIES
Li 6.94 Li.upf
Pd 106.42 Pd.upf
Rh 102.91 Rh.upf
ATOMIC_POSITIONS angstrom
Li 1.221 2.308 0.000
Li 2.308 5.836 0.000
Li 4.749 1.221 0.000
Li 5.836 4.749 0.000
Pd 0.000 0.000 1.382
Pd 3.528 3.528 1.382
Rh 0.882 4.411 1.382
Rh 2.646 0.882 1.382
Rh 4.411 6.174 1.382
Rh 6.174 2.646 1.382
CELL_PARAMETERS angstrom
7.057 0.000 0.000
0.000 7.057 0.000
0.000 0.000 2.763
! - Space group: P4/mbm (127)
! - Electronic total energy: -0.3427 Ry/atom
! - Spin magnetization: 0.05 μB/cell

---

! GGA-PBE Li3PdRh, optimized geometry; values from VASP
&SYSTEM
  ibrav = 0, nat = 10, ntyp = 3
/
ATOMIC_SPECIES
Li 6.94 Li.upf
Pd 106.42 Pd.upf
Rh 102.91 Rh.upf
ATOMIC_POSITIONS angstrom
Li 0.000 0.000 0.000
Li 0.000 0.000 2.273
Li 2.386 1.906 3.409
Li 4.878 1.906 3.409
Li 2.386 -1.906 1.136
Li 4.878 -1.906 1.136
Pd 3.632 3.000 1.136
Pd 3.632 -3.000 3.409
Rh 3.632 0.422 1.136
Rh 3.632 -0.422 3.409
CELL_PARAMETERS angstrom
3.632 -5.276 0.000
3.632 5.276 0.000
0.000 0.000 4.546
! - Space group: Cmcm (63)
! - Electronic total energy: -0.2621 Ry/atom
! - Spin magnetization: 0.00 μB/cell